[1]
# In3BS6 PBE optimized geometry
data_In3BS6
_cell_length_a 10.223
_cell_length_b 13.546
_cell_length_c 6.158
_cell_angle_alpha 90.00
_cell_angle_beta 90.00
_cell_angle_gamma 90.00
_space_group_name_H-M_alt 'C m c 21'
_space_group_IT_number 36
loop_
_space_group_symop_operation_xyz
'x,y,z'
'-x,-y,z+1/2'
'-x,y,z'
'x,-y,z+1/2'
'x+1/2,y+1/2,z'
'-x+1/2,-y+1/2,z+1/2'
'-x+1/2,y+1/2,z'
'x+1/2,-y+1/2,z+1/2'
loop_
_atom_site_label
_atom_site_fract_x
_atom_site_fract_y
_atom_site_fract_z
_atom_site_occupancy
In1 0.000 0.084 0.000 1
In2 0.193 0.388 0.855 1
B1 0.000 0.301 0.281 1
S1 0.000 0.313 0.592 1
S2 0.000 0.426 0.116 1
S3 0.149 0.230 0.157 1
S4 0.171 0.038 0.694 1
# * E_form (uncorrected): -385 meV per atom
# * total magnetization: 0.0 μB per formula unit
# * calculated total energy: -4.351 eV/atom



[2]
# InBS3 PBE optimized geometry
data_InBS3
_cell_length_a 12.163
_cell_length_b 3.399
_cell_length_c 10.318
_cell_angle_alpha 90.00
_cell_angle_beta 93.41
_cell_angle_gamma 90.00
_space_group_name_H-M_alt 'C 1 2/m 1'
_space_group_IT_number 12
loop_
_space_group_symop_operation_xyz
'x,y,z'
'-x,-y,-z'
'-x,y,-z'
'x,-y,z'
'x+1/2,y+1/2,z'
'-x+1/2,-y+1/2,-z'
'-x+1/2,y+1/2,-z'
'x+1/2,-y+1/2,z'
loop_
_atom_site_label
_atom_site_fract_x
_atom_site_fract_y
_atom_site_fract_z
_atom_site_occupancy
In1 0.147 0.000 0.382 1
B1 0.090 0.500 0.763 1
S1 0.067 0.500 0.226 1
S2 0.143 0.500 0.582 1
S3 0.150 0.000 0.844 1
# * E_form (uncorrected): -261 meV per atom
# * total magnetization: 0.0 μB per formula unit
# * calculated total energy: -4.620 eV/atom



[3]
# InBS PBE optimized geometry
data_InBS
_cell_length_a 5.720
_cell_length_b 4.066
_cell_length_c 10.862
_cell_angle_alpha 90.00
_cell_angle_beta 90.00
_cell_angle_gamma 90.00
_space_group_name_H-M_alt 'A m m 2'
_space_group_IT_number 38
loop_
_space_group_symop_operation_xyz
'x,y,z'
'-x,-y,z'
'-x,y,z'
'x,-y,z'
'x,y+1/2,z+1/2'
'-x,-y+1/2,z+1/2'
'-x,y+1/2,z+1/2'
'x,-y+1/2,z+1/2'
loop_
_atom_site_label
_atom_site_fract_x
_atom_site_fract_y
_atom_site_fract_z
_atom_site_occupancy
In1 0.000 0.000 0.000 1
In2 0.000 0.000 0.278 1
B1 0.500 0.201 0.973 1
S1 0.500 0.000 0.342 1
S2 0.500 0.000 0.602 1
# * E_form (uncorrected): -72 meV per atom
# * total magnetization: 0.0 μB per formula unit
# * energy relative to the lowest polymorph listed for this composition: 8.4 kJ per mole of atoms
# * calculated total energy: -4.586 eV/atom



[4]
# InBS PBE optimized geometry
data_InBS
_cell_length_a 7.715
_cell_length_b 7.331
_cell_length_c 5.291
_cell_angle_alpha 90.00
_cell_angle_beta 129.79
_cell_angle_gamma 90.00
_space_group_name_H-M_alt 'C 1 2/m 1'
_space_group_IT_number 12
loop_
_space_group_symop_operation_xyz
'x,y,z'
'-x,-y,-z'
'-x,y,-z'
'x,-y,z'
'x+1/2,y+1/2,z'
'-x+1/2,-y+1/2,-z'
'-x+1/2,y+1/2,-z'
'x+1/2,-y+1/2,z'
loop_
_atom_site_label
_atom_site_fract_x
_atom_site_fract_y
_atom_site_fract_z
_atom_site_occupancy
In1 0.250 0.250 0.000 1
B1 0.130 0.000 0.169 1
S1 0.195 0.500 0.394 1
# * E_form (uncorrected): 24 meV per atom
# * total magnetization: 0.0 μB per formula unit
# * energy relative to the lowest polymorph listed for this composition: 17.7 kJ per mole of atoms
# * calculated total energy: -4.490 eV/atom



[5]
# InBS3 PBE optimized geometry
data_InBS3
_cell_length_a 5.025
_cell_length_b 5.025
_cell_length_c 5.025
_cell_angle_alpha 90.00
_cell_angle_beta 90.00
_cell_angle_gamma 90.00
_space_group_name_H-M_alt 'P m -3 m'
_space_group_IT_number 221
_space_group_name_Hall '-P 4 2 3'
loop_
_atom_site_label
_atom_site_fract_x
_atom_site_fract_y
_atom_site_fract_z
_atom_site_occupancy
In1 0.000 0.000 0.000 1
B1 0.500 0.500 0.500 1
S1 0.000 0.000 0.500 1
# * E_form (uncorrected): 1365 meV per atom
# * total magnetization: 0.0 μB per formula unit
# * calculated total energy: -2.994 eV/atom



[6]
# InBS PBE optimized geometry
data_InBS
_cell_length_a 3.712
_cell_length_b 5.594
_cell_length_c 6.506
_cell_angle_alpha 82.14
_cell_angle_beta 73.44
_cell_angle_gamma 71.00
_space_group_name_H-M_alt 'P -1'
_space_group_IT_number 2
loop_
_space_group_symop_operation_xyz
'x,y,z'
'-x,-y,-z'
loop_
_atom_site_label
_atom_site_fract_x
_atom_site_fract_y
_atom_site_fract_z
_atom_site_occupancy
In1 0.246 0.244 0.259 1
B1 0.428 0.509 0.633 1
S1 0.463 0.241 0.827 1
# * E_form (uncorrected): 24 meV per atom
# * total magnetization: 0.0 μB per formula unit
# * energy relative to the lowest polymorph listed for this composition: 17.6 kJ per mole of atoms
# * calculated total energy: -4.491 eV/atom



[7]
# InBS PBE optimized geometry
data_InBS
_cell_length_a 4.130
_cell_length_b 3.724
_cell_length_c 8.307
_cell_angle_alpha 90.00
_cell_angle_beta 100.08
_cell_angle_gamma 90.00
_space_group_name_H-M_alt 'P 1 2/m 1'
_space_group_IT_number 10
loop_
_space_group_symop_operation_xyz
'x,y,z'
'-x,-y,-z'
'-x,y,-z'
'x,-y,z'
loop_
_atom_site_label
_atom_site_fract_x
_atom_site_fract_y
_atom_site_fract_z
_atom_site_occupancy
In1 0.000 0.000 0.000 1
In2 0.000 0.000 0.500 1
B1 0.433 0.500 0.084 1
S1 0.461 0.500 0.296 1
# * E_form (uncorrected): 64 meV per atom
# * total magnetization: 0.0 μB per formula unit
# * energy relative to the lowest polymorph listed for this composition: 21.5 kJ per mole of atoms
# * calculated total energy: -4.451 eV/atom



[8]
# InBS PBE optimized geometry
data_InBS
_cell_length_a 6.505
_cell_length_b 5.633
_cell_length_c 6.839
_cell_angle_alpha 90.00
_cell_angle_beta 105.57
_cell_angle_gamma 90.00
_space_group_name_H-M_alt 'C 1 2 1'
_space_group_IT_number 5
loop_
_space_group_symop_operation_xyz
'x,y,z'
'-x,y,-z'
'x+1/2,y+1/2,z'
'-x+1/2,y+1/2,-z'
loop_
_atom_site_label
_atom_site_fract_x
_atom_site_fract_y
_atom_site_fract_z
_atom_site_occupancy
In1 0.248 0.000 0.303 1
B1 0.093 0.135 0.609 1
S1 0.180 0.918 0.821 1
# * E_form (uncorrected): 43 meV per atom
# * total magnetization: 0.0 μB per formula unit
# * energy relative to the lowest polymorph listed for this composition: 19.5 kJ per mole of atoms
# * calculated total energy: -4.472 eV/atom



[9]
# InBS PBE optimized geometry
data_InBS
_cell_length_a 3.019
_cell_length_b 5.453
_cell_length_c 7.214
_cell_angle_alpha 90.00
_cell_angle_beta 97.82
_cell_angle_gamma 90.00
_space_group_name_H-M_alt 'P 1 2/m 1'
_space_group_IT_number 10
loop_
_space_group_symop_operation_xyz
'x,y,z'
'-x,-y,-z'
'-x,y,-z'
'x,-y,z'
loop_
_atom_site_label
_atom_site_fract_x
_atom_site_fract_y
_atom_site_fract_z
_atom_site_occupancy
In1 0.000 0.000 0.000 1
In2 0.500 0.000 0.500 1
B1 0.037 0.500 0.114 1
S1 0.413 0.500 0.733 1
# * E_form (uncorrected): -136 meV per atom
# * total magnetization: 0.0 μB per formula unit
# * energy relative to the lowest polymorph listed for this composition: 2.2 kJ per mole of atoms
# * calculated total energy: -4.650 eV/atom



[10]
# InBS2 PBE optimized geometry
data_InBS2
_cell_length_a 6.298
_cell_length_b 6.298
_cell_length_c 7.674
_cell_angle_alpha 90.00
_cell_angle_beta 90.00
_cell_angle_gamma 90.00
_space_group_name_H-M_alt 'I -4 2 d'
_space_group_IT_number 122
_space_group_name_Hall 'I -4 2bw'
loop_
_atom_site_label
_atom_site_fract_x
_atom_site_fract_y
_atom_site_fract_z
_atom_site_occupancy
In1 0.000 0.000 0.000 1
B1 0.000 0.000 0.500 1
S1 0.114 0.250 0.625 1
# * E_form (uncorrected): -168 meV per atom
# * total magnetization: 0.0 μB per formula unit
# * calculated total energy: -4.586 eV/atom



[11]
# In3BS PBE optimized geometry
data_In3BS
_cell_length_a 4.800
_cell_length_b 4.800
_cell_length_c 4.800
_cell_angle_alpha 90.00
_cell_angle_beta 90.00
_cell_angle_gamma 90.00
_space_group_name_H-M_alt 'P m -3 m'
_space_group_IT_number 221
_space_group_name_Hall '-P 4 2 3'
loop_
_atom_site_label
_atom_site_fract_x
_atom_site_fract_y
_atom_site_fract_z
_atom_site_occupancy
In1 0.000 0.000 0.500 1
B1 0.000 0.000 0.000 1
S1 0.500 0.500 0.500 1
# * E_form (uncorrected): 329 meV per atom
# * total magnetization: 0.0 μB per formula unit
# * energy relative to the lowest polymorph listed for this composition: 0.0 kJ per mole of atoms
# * calculated total energy: -3.475 eV/atom



[12]
# InBS PBE optimized geometry
data_InBS
_cell_length_a 4.048
_cell_length_b 5.027
_cell_length_c 7.057
_cell_angle_alpha 93.45
_cell_angle_beta 100.57
_cell_angle_gamma 96.01
_space_group_name_H-M_alt 'P 1'
_space_group_IT_number 1
loop_
_space_group_symop_operation_xyz
'x,y,z'
loop_
_atom_site_label
_atom_site_fract_x
_atom_site_fract_y
_atom_site_fract_z
_atom_site_occupancy
In1 0.000 0.000 0.000 1
In2 0.092 0.423 0.321 1
B1 0.593 0.642 0.252 1
B2 0.768 0.865 0.415 1
S1 0.005 0.079 0.603 1
S2 0.453 0.649 0.983 1
# * E_form (uncorrected): 61 meV per atom
# * total magnetization: 0.0 μB per formula unit
# * energy relative to the lowest polymorph listed for this composition: 21.3 kJ per mole of atoms
# * calculated total energy: -4.453 eV/atom